Crystalline Hf4BeRh at its relaxed geometry, computed with GGA-PBE.

Structure (CIF):
```
data_Hf4BeRh
_chemical_formula_sum 'Hf8 Be2 Rh2'
_cell_length_a 6.544
_cell_length_b 6.544
_cell_length_c 5.162
_cell_angle_alpha 90.00
_cell_angle_beta 90.00
_cell_angle_gamma 90.00
_space_group_name_H-M_alt 'I 4 2 2'
_space_group_IT_number 97
_space_group_name_Hall 'I 4 2'
loop_
_atom_site_label
_atom_site_type_symbol
_atom_site_fract_x
_atom_site_fract_y
_atom_site_fract_z
Hf1 Hf 0.161 0.339 0.250
Be1 Be 0.000 0.000 0.000
Rh1 Rh 0.000 0.000 0.500
```

Summary:
excess energy over the best structure of this formula in the dataset	0.0	meV/atom
crystal system	tetragonal
total magnetic moment	0.000	μB/atom
final energy	-8.81	eV/atom